# KCrPt2 GGA-PBE relaxed
data_KCrPt2
_chemical_formula_sum 'K1 Cr1 Pt2'
_space_group_name_H-M_alt 'P 4 m m'
_space_group_IT_number 99
_cell_length_a 3.2835
_cell_length_b 3.2835
_cell_length_c 7.8733
_cell_angle_alpha 90.00
_cell_angle_beta 90.00
_cell_angle_gamma 90.00
loop_
_space_group_symop_operation_xyz
'x,y,z'
'-y,x,z'
'-x,-y,z'
'y,-x,z'
'-x,y,z'
'y,x,z'
'x,-y,z'
'-y,-x,z'
loop_
_atom_site_label
_atom_site_type_symbol
_atom_site_fract_x
_atom_site_fract_y
_atom_site_fract_z
K1 K 0.0000 0.0000 0.0000
Cr1 Cr 0.5000 0.5000 0.6358
Pt1 Pt 0.0000 0.0000 0.5044
Pt2 Pt 0.5000 0.5000 0.2963
# energy of formation = 0.310 eV/atom

***

# KCr4Pt GGA-PBE relaxed
data_KCr4Pt
_chemical_formula_sum 'K4 Cr16 Pt4'
_space_group_name_H-M_alt 'F -4 3 m'
_space_group_IT_number 216
_space_group_name_Hall 'F -4 2 3'
_cell_length_a 7.0738
_cell_length_b 7.0738
_cell_length_c 7.0738
_cell_angle_alpha 90.00
_cell_angle_beta 90.00
_cell_angle_gamma 90.00
loop_
_atom_site_label
_atom_site_type_symbol
_atom_site_fract_x
_atom_site_fract_y
_atom_site_fract_z
K1 K 0.0000 0.0000 0.0000
Cr1 Cr 0.1263 0.1263 0.3737
Pt1 Pt 0.2500 0.2500 0.7500
# energy of formation = 0.948 eV/atom

***

# KCr2Pt GGA-PBE relaxed
data_KCr2Pt
_chemical_formula_sum 'K1 Cr2 Pt1'
_space_group_name_H-M_alt 'P m m m'
_space_group_IT_number 47
_cell_length_a 2.9816
_cell_length_b 5.0287
_cell_length_c 5.3408
_cell_angle_alpha 90.00
_cell_angle_beta 90.00
_cell_angle_gamma 90.00
loop_
_space_group_symop_operation_xyz
'x,y,z'
'-x,-y,-z'
'-x,-y,z'
'x,y,-z'
'x,-y,-z'
'-x,y,z'
'-x,y,-z'
'x,-y,z'
loop_
_atom_site_label
_atom_site_type_symbol
_atom_site_fract_x
_atom_site_fract_y
_atom_site_fract_z
K1 K 0.0000 0.0000 0.0000
Cr1 Cr 0.0000 0.5000 0.5000
Cr2 Cr 0.5000 0.5000 0.0000
Pt1 Pt 0.5000 0.0000 0.5000
# energy of formation = 0.987 eV/atom
# energy above the lowest structure with this stoichiometry = 582 meV/atom

***

# KCrPt2 GGA-PBE relaxed
data_KCrPt2
_chemical_formula_sum 'K1 Cr1 Pt2'
_space_group_name_H-M_alt 'P 1 m 1'
_space_group_IT_number 6
_cell_length_a 2.8280
_cell_length_b 4.3914
_cell_length_c 6.8860
_cell_angle_alpha 90.00
_cell_angle_beta 90.64
_cell_angle_gamma 90.00
loop_
_space_group_symop_operation_xyz
'x,y,z'
'x,-y,z'
loop_
_atom_site_label
_atom_site_type_symbol
_atom_site_fract_x
_atom_site_fract_y
_atom_site_fract_z
K1 K 0.0000 0.0000 0.0000
Cr1 Cr 0.0136 0.5000 0.6056
Pt1 Pt 0.5059 0.5000 0.2886
Pt2 Pt 0.5104 0.0000 0.5324
# energy of formation = 0.204 eV/atom

***

# KCr2Pt GGA-PBE relaxed
data_KCr2Pt
_chemical_formula_sum 'K2 Cr4 Pt2'
_space_group_name_H-M_alt 'C 1 m 1'
_space_group_IT_number 8
_cell_length_a 9.0692
_cell_length_b 2.8937
_cell_length_c 7.0530
_cell_angle_alpha 90.00
_cell_angle_beta 98.62
_cell_angle_gamma 90.00
loop_
_space_group_symop_operation_xyz
'x,y,z'
'x,-y,z'
'x+1/2,y+1/2,z'
'x+1/2,-y+1/2,z'
loop_
_atom_site_label
_atom_site_type_symbol
_atom_site_fract_x
_atom_site_fract_y
_atom_site_fract_z
K1 K 0.0000 0.0000 0.0000
Cr1 Cr 0.0063 0.5000 0.4968
Cr2 Cr 0.2988 0.5000 0.4013
Pt1 Pt 0.2281 0.0000 0.6749
# energy of formation = 0.478 eV/atom
# energy above the lowest structure with this stoichiometry = 73 meV/atom

***

# KCrPt2 GGA-PBE relaxed
data_KCrPt2
_chemical_formula_sum 'K2 Cr2 Pt4'
_space_group_name_H-M_alt 'I -4 m 2'
_space_group_IT_number 119
_space_group_name_Hall 'I -4 -2'
_cell_length_a 4.2731
_cell_length_b 4.2731
_cell_length_c 8.1755
_cell_angle_alpha 90.00
_cell_angle_beta 90.00
_cell_angle_gamma 90.00
loop_
_atom_site_label
_atom_site_type_symbol
_atom_site_fract_x
_atom_site_fract_y
_atom_site_fract_z
K1 K 0.0000 0.0000 0.0000
Cr1 Cr 0.0000 0.5000 0.2500
Pt1 Pt 0.0000 0.0000 0.5000
Pt2 Pt 0.0000 0.5000 0.7500
# energy of formation = 0.563 eV/atom

***

# KCrPt2 GGA-PBE relaxed
data_KCrPt2
_chemical_formula_sum 'K3 Cr3 Pt6'
_space_group_name_H-M_alt 'R -3 m'
_space_group_IT_number 166
_space_group_name_Hall '-R 3 2"'
_cell_length_a 2.9631
_cell_length_b 2.9631
_cell_length_c 29.0219
_cell_angle_alpha 90.00
_cell_angle_beta 90.00
_cell_angle_gamma 120.00
loop_
_atom_site_label
_atom_site_type_symbol
_atom_site_fract_x
_atom_site_fract_y
_atom_site_fract_z
K1 K 0.0000 0.0000 0.0000
Cr1 Cr 0.0000 0.0000 0.5000
Pt1 Pt 0.0000 0.0000 0.2367
# energy of formation = 0.216 eV/atom

***

# KCrPt2 GGA-PBE relaxed
data_KCrPt2
_chemical_formula_sum 'K4 Cr4 Pt8'
_space_group_name_H-M_alt 'I -4 2 d'
_space_group_IT_number 122
_space_group_name_Hall 'I -4 2bw'
_cell_length_a 7.5929
_cell_length_b 7.5929
_cell_length_c 6.3643
_cell_angle_alpha 90.00
_cell_angle_beta 90.00
_cell_angle_gamma 90.00
loop_
_atom_site_label
_atom_site_type_symbol
_atom_site_fract_x
_atom_site_fract_y
_atom_site_fract_z
K1 K 0.0000 0.0000 0.0000
Cr1 Cr 0.0000 0.0000 0.5000
Pt1 Pt 0.1654 0.2500 0.6250
# energy of formation = 0.455 eV/atom

***

Look up the energy of formation of the fourth one. 0.204 eV/atom